# 1
The following is a GGA-PBE calculation of crystalline TbSiHO4 at its relaxed geometry, from the Open Quantum Materials Database.

abc: 8.9423 6.7921 4.8008
angles: 90.00 90.00 90.00
Positions (direct):
Tb 0.2032 0.2500 0.1980
Tb 0.2968 0.7500 0.6980
Tb 0.7032 0.2500 0.3020
Tb 0.7968 0.7500 0.8020
Si 0.0452 0.7500 0.2185
Si 0.4548 0.2500 0.7185
Si 0.5452 0.7500 0.2815
Si 0.9548 0.2500 0.7815
H 0.0000 0.0000 0.5000
H 0.0000 0.5000 0.5000
H 0.5000 0.0000 0.0000
H 0.5000 0.5000 0.0000
O 0.0702 0.7500 0.8856
O 0.1147 0.5532 0.3780
O 0.1147 0.9468 0.3780
O 0.1344 0.2500 0.7334
O 0.3656 0.7500 0.2334
O 0.3853 0.0532 0.8780
O 0.3853 0.4468 0.8780
O 0.4298 0.2500 0.3856
O 0.5702 0.7500 0.6145
O 0.6147 0.5532 0.1220
O 0.6147 0.9468 0.1220
O 0.6344 0.2500 0.7666
O 0.8656 0.7500 0.2666
O 0.8853 0.0532 0.6220
O 0.8853 0.4468 0.6220
O 0.9298 0.2500 0.1144

Computed properties:
mass density	5.7	Mg/m³
energy above the most stable polymorph in this dataset	93	meV per atom

---

# 2
The following is a GGA-PBE calculation of crystalline TbSiHO4 at its relaxed geometry, from the Open Quantum Materials Database.

abc: 4.3453 4.8403 8.5700
angles: 90.00 117.91 90.00
Positions (direct):
Tb 0.0000 0.0911 0.0000
Tb 0.0000 0.9089 0.5000
Si 0.6474 0.4368 0.2335
Si 0.6474 0.5632 0.7335
H 0.2425 0.3487 0.3558
H 0.2425 0.6513 0.8558
O 0.3296 0.2968 0.2646
O 0.3296 0.7032 0.7646
O 0.5748 0.2660 0.0542
O 0.5748 0.7340 0.5542
O 0.6690 0.2308 0.7247
O 0.6690 0.7692 0.2247
O 0.9935 0.3510 0.4205
O 0.9935 0.6490 0.9205

Computed properties:
mass density	5.3	Mg/m³
energy above the most stable polymorph in this dataset	135	meV per atom

---

# 3
The following is a GGA-PBE calculation of crystalline TbSiHO4 at its relaxed geometry, from the Open Quantum Materials Database.

abc: 7.6915 8.9620 17.3203
angles: 90.00 90.00 90.00
Positions (direct):
Tb 0.1147 0.1659 0.1246
Tb 0.1147 0.3341 0.6246
Tb 0.1364 0.1887 0.8815
Tb 0.1364 0.3113 0.3815
Tb 0.3636 0.6887 0.8815
Tb 0.3636 0.8113 0.3815
Tb 0.3853 0.6659 0.1246
Tb 0.3853 0.8341 0.6246
Tb 0.6147 0.1659 0.3754
Tb 0.6147 0.3341 0.8754
Tb 0.6364 0.1887 0.6185
Tb 0.6364 0.3113 0.1185
Tb 0.8636 0.6887 0.6185
Tb 0.8636 0.8113 0.1185
Tb 0.8853 0.6659 0.3754
Tb 0.8853 0.8341 0.8754
Si 0.0165 0.0181 0.2958
Si 0.0165 0.4819 0.7958
Si 0.2436 0.5715 0.5048
Si 0.2436 0.9285 0.0048
Si 0.2564 0.0715 0.5048
Si 0.2564 0.4285 0.0048
Si 0.4835 0.5181 0.2958
Si 0.4835 0.9819 0.7958
Si 0.5165 0.0181 0.2042
Si 0.5165 0.4819 0.7042
Si 0.7436 0.5715 0.9952
Si 0.7436 0.9285 0.4952
Si 0.7564 0.0715 0.9952
Si 0.7564 0.4285 0.4952
Si 0.9835 0.5181 0.2042
Si 0.9835 0.9819 0.7042
H 0.0612 0.6357 0.9918
H 0.0612 0.8643 0.4918
H 0.2061 0.5918 0.2818
H 0.2061 0.9082 0.7818
H 0.2939 0.0918 0.2818
H 0.2939 0.4082 0.7818
H 0.4388 0.1357 0.9918
H 0.4388 0.3643 0.4918
H 0.5612 0.6357 0.5082
H 0.5612 0.8643 0.0082
H 0.7061 0.5918 0.2182
H 0.7061 0.9082 0.7182
H 0.7939 0.0918 0.2182
H 0.7939 0.4082 0.7182
H 0.9388 0.1357 0.5082
H 0.9388 0.3643 0.0082
O 0.0634 0.0074 0.7908
O 0.0634 0.4926 0.2908
O 0.0769 0.1709 0.5138
O 0.0769 0.3291 0.0138
O 0.0787 0.6381 0.8332
O 0.0787 0.8619 0.3332
O 0.0960 0.6248 0.1476
O 0.0960 0.8752 0.6476
O 0.1282 0.5905 0.5827
O 0.1282 0.9095 0.0827
O 0.1617 0.6191 0.4221
O 0.1617 0.8809 0.9221
O 0.1738 0.1446 0.2730
O 0.1738 0.3554 0.7730
O 0.2247 0.6080 0.9978
O 0.2247 0.8920 0.4978
O 0.2753 0.1080 0.9978
O 0.2753 0.3920 0.4978
O 0.3262 0.6446 0.2730
O 0.3262 0.8554 0.7730
O 0.3383 0.1191 0.4221
O 0.3383 0.3809 0.9221
O 0.3718 0.0905 0.5827
O 0.3718 0.4095 0.0827
O 0.4040 0.1248 0.1476
O 0.4040 0.3752 0.6476
O 0.4213 0.1381 0.8332
O 0.4213 0.3619 0.3332
O 0.4231 0.6709 0.5138
O 0.4231 0.8291 0.0138
O 0.4366 0.5074 0.7908
O 0.4366 0.9926 0.2908
O 0.5634 0.0074 0.7092
O 0.5634 0.4926 0.2092
O 0.5769 0.1709 0.9862
O 0.5769 0.3291 0.4862
O 0.5787 0.6381 0.6668
O 0.5787 0.8619 0.1668
O 0.5960 0.6248 0.3524
O 0.5960 0.8752 0.8524
O 0.6282 0.5905 0.9173
O 0.6282 0.9095 0.4173
O 0.6617 0.6191 0.0779
O 0.6617 0.8809 0.5779
O 0.6738 0.1446 0.2270
O 0.6738 0.3554 0.7270
O 0.7247 0.6080 0.5022
O 0.7247 0.8920 0.0022
O 0.7753 0.1080 0.5022
O 0.7753 0.3920 0.0022
O 0.8262 0.6446 0.2270
O 0.8262 0.8554 0.7270
O 0.8383 0.1191 0.0779
O 0.8383 0.3809 0.5779
O 0.8718 0.0905 0.9173
O 0.8718 0.4095 0.4173
O 0.9040 0.1248 0.3524
O 0.9040 0.3752 0.8524
O 0.9213 0.1381 0.6668
O 0.9213 0.3619 0.1668
O 0.9231 0.6709 0.9862
O 0.9231 0.8291 0.4862
O 0.9366 0.5074 0.7092
O 0.9366 0.9926 0.2092

Computed properties:
mass density	5.6	Mg/m³
energy above the most stable polymorph in this dataset	22	meV per atom

---

# 4
The following is a GGA-PBE calculation of crystalline TbSiH2O4 at its relaxed geometry, from the Open Quantum Materials Database.

abc: 4.7514 6.6243 5.7467
angles: 90.00 107.73 90.00
Positions (direct):
Tb 0.0112 0.2500 0.1553
Tb 0.9888 0.7500 0.8447
Si 0.2820 0.2500 0.7158
Si 0.7180 0.7500 0.2842
H 0.3055 0.7500 0.4788
H 0.5000 0.0000 0.0000
H 0.5000 0.5000 0.0000
H 0.6945 0.2500 0.5212
O 0.0655 0.7500 0.4781
O 0.2453 0.0520 0.9045
O 0.2453 0.4480 0.9045
O 0.4191 0.2500 0.4787
O 0.5809 0.7500 0.5213
O 0.7547 0.5520 0.0955
O 0.7547 0.9480 0.0955
O 0.9345 0.2500 0.5219

Computed properties:
mass density	4.9	Mg/m³
energy above the most stable polymorph in this dataset	16	meV per atom

---

# 5
The following is a GGA-PBE calculation of crystalline TbSiH2O4 at its relaxed geometry, from the Open Quantum Materials Database.

abc: 4.7912 6.6361 11.6410
angles: 90.00 107.97 90.00
Positions (direct):
Tb 0.0197 0.2474 0.3291
Tb 0.0197 0.2526 0.8291
Tb 0.9803 0.7474 0.1709
Tb 0.9803 0.7526 0.6709
Si 0.2734 0.2350 0.1068
Si 0.2734 0.2650 0.6068
Si 0.7266 0.7350 0.3932
Si 0.7266 0.7650 0.8932
H 0.2905 0.7457 0.4871
H 0.2905 0.7543 0.9871
H 0.4627 0.0130 0.7430
H 0.4627 0.4870 0.2430
H 0.5373 0.5130 0.7570
H 0.5373 0.9870 0.2570
H 0.7095 0.2457 0.0129
H 0.7095 0.2543 0.5129
O 0.0717 0.7377 0.9914
O 0.0717 0.7623 0.4914
O 0.2087 0.0500 0.1977
O 0.2087 0.4500 0.6977
O 0.2496 0.0563 0.6993
O 0.2496 0.4437 0.1993
O 0.4116 0.2336 0.9915
O 0.4116 0.2664 0.4915
O 0.5884 0.7336 0.5085
O 0.5884 0.7664 0.0085
O 0.7504 0.5563 0.8007
O 0.7504 0.9437 0.3007
O 0.7913 0.5500 0.3023
O 0.7913 0.9500 0.8023
O 0.9283 0.2377 0.5086
O 0.9283 0.2623 0.0086

Computed properties:
mass density	4.8	Mg/m³
energy above the most stable polymorph in this dataset	3	meV per atom

---

# 6
The following is a GGA-PBE calculation of crystalline TbSiHO4 at its relaxed geometry, from the Open Quantum Materials Database.

abc: 8.8860 8.8860 8.8860
angles: 110.79 110.79 110.79
Positions (direct):
Tb 0.0042 0.2260 0.7698
Tb 0.2260 0.7698 0.0042
Tb 0.3022 0.7634 0.6139
Tb 0.6139 0.3022 0.7634
Tb 0.7634 0.6139 0.3022
Tb 0.7698 0.0042 0.2260
Si 0.1584 0.9640 0.3712
Si 0.3712 0.1584 0.9640
Si 0.4504 0.5933 0.8888
Si 0.5933 0.8888 0.4504
Si 0.8888 0.4504 0.5933
Si 0.9640 0.3712 0.1584
H 0.1112 0.9662 0.6555
H 0.2818 0.3195 0.5727
H 0.3195 0.5727 0.2818
H 0.5727 0.2818 0.3195
H 0.6555 0.1112 0.9662
H 0.9662 0.6555 0.1112
O 0.0578 0.7878 0.1430
O 0.0676 0.6652 0.6808
O 0.0731 0.0972 0.3798
O 0.0818 0.4671 0.3854
O 0.0946 0.8408 0.4650
O 0.0972 0.3798 0.0731
O 0.1430 0.0578 0.7878
O 0.2576 0.5113 0.8910
O 0.3798 0.0731 0.0972
O 0.3854 0.0818 0.4671
O 0.4159 0.4214 0.6949
O 0.4214 0.6949 0.4159
O 0.4650 0.0946 0.8408
O 0.4671 0.3854 0.0818
O 0.4748 0.7833 0.8833
O 0.5113 0.8910 0.2576
O 0.6652 0.6808 0.0676
O 0.6808 0.0676 0.6652
O 0.6949 0.4159 0.4214
O 0.7833 0.8833 0.4748
O 0.7878 0.1430 0.0578
O 0.8408 0.4650 0.0946
O 0.8833 0.4748 0.7833
O 0.8910 0.2576 0.5113

Computed properties:
mass density	4.9	Mg/m³
energy above the most stable polymorph in this dataset	57	meV per atom

---

# 7
The following is a GGA-PBE calculation of crystalline TbSiHO4 at its relaxed geometry, from the Open Quantum Materials Database.

abc: 12.9857 15.6507 4.3388
angles: 90.00 90.00 90.00
Positions (direct):
Tb 0.0677 0.0968 0.1612
Tb 0.0677 0.4032 0.1612
Tb 0.1098 0.7500 0.2976
Tb 0.3902 0.2500 0.7976
Tb 0.4323 0.5968 0.6612
Tb 0.4323 0.9032 0.6612
Tb 0.5677 0.0968 0.3388
Tb 0.5677 0.4032 0.3388
Tb 0.6098 0.7500 0.2024
Tb 0.8902 0.2500 0.7024
Tb 0.9323 0.5968 0.8388
Tb 0.9323 0.9032 0.8388
Si 0.1214 0.2500 0.7353
Si 0.1592 0.5859 0.7156
Si 0.1592 0.9141 0.7156
Si 0.3408 0.0859 0.2156
Si 0.3408 0.4141 0.2156
Si 0.3786 0.7500 0.2353
Si 0.6214 0.2500 0.7647
Si 0.6592 0.5859 0.7844
Si 0.6592 0.9141 0.7844
Si 0.8408 0.0859 0.2844
Si 0.8408 0.4141 0.2844
Si 0.8786 0.7500 0.2647
H 0.2129 0.2500 0.3328
H 0.2458 0.5866 0.1376
H 0.2458 0.9134 0.1376
H 0.2542 0.0866 0.6376
H 0.2542 0.4134 0.6376
H 0.2871 0.7500 0.8328
H 0.7129 0.2500 0.1672
H 0.7458 0.5866 0.3624
H 0.7458 0.9134 0.3624
H 0.7542 0.0866 0.8624
H 0.7542 0.4134 0.8624
H 0.7871 0.7500 0.6672
O 0.0521 0.1650 0.6642
O 0.0521 0.3350 0.6642
O 0.0769 0.5074 0.7736
O 0.0769 0.9926 0.7736
O 0.0886 0.6678 0.8314
O 0.0886 0.8322 0.8314
O 0.1352 0.2500 0.1068
O 0.1913 0.6153 0.3712
O 0.1913 0.8847 0.3712
O 0.2302 0.0707 0.3976
O 0.2302 0.4293 0.3976
O 0.2335 0.2500 0.5645
O 0.2665 0.7500 0.0645
O 0.2698 0.5707 0.8976
O 0.2698 0.9293 0.8976
O 0.3087 0.1153 0.8712
O 0.3087 0.3847 0.8712
O 0.3648 0.7500 0.6068
O 0.4114 0.1678 0.3314
O 0.4114 0.3322 0.3314
O 0.4231 0.0074 0.2736
O 0.4231 0.4926 0.2736
O 0.4479 0.6650 0.1642
O 0.4479 0.8350 0.1642
O 0.5521 0.1650 0.8358
O 0.5521 0.3350 0.8358
O 0.5769 0.5074 0.7264
O 0.5769 0.9926 0.7264
O 0.5886 0.6678 0.6686
O 0.5886 0.8322 0.6686
O 0.6352 0.2500 0.3932
O 0.6913 0.6153 0.1288
O 0.6913 0.8847 0.1288
O 0.7302 0.0707 0.1024
O 0.7302 0.4293 0.1024
O 0.7335 0.2500 0.9355
O 0.7665 0.7500 0.4355
O 0.7698 0.5707 0.6024
O 0.7698 0.9293 0.6024
O 0.8087 0.1153 0.6288
O 0.8087 0.3847 0.6288
O 0.8648 0.7500 0.8932
O 0.9114 0.1678 0.1686
O 0.9114 0.3322 0.1686
O 0.9231 0.0074 0.2264
O 0.9231 0.4926 0.2264
O 0.9479 0.6650 0.3358
O 0.9479 0.8350 0.3358

Computed properties:
mass density	5.7	Mg/m³
energy above the most stable polymorph in this dataset	76	meV per atom

---

# 8
The following is a GGA-PBE calculation of crystalline TbSiHO4 at its relaxed geometry, from the Open Quantum Materials Database.

abc: 4.4733 6.6628 4.8593
angles: 90.00 96.97 90.00
Positions (direct):
Tb 0.0719 0.2500 0.1990
Tb 0.9281 0.7500 0.8010
Si 0.4329 0.7500 0.3084
Si 0.5671 0.2500 0.6916
H 0.5000 0.0000 0.0000
H 0.5000 0.5000 0.0000
O 0.2038 0.2500 0.6903
O 0.2880 0.5575 0.1161
O 0.2880 0.9425 0.1161
O 0.3675 0.7500 0.6249
O 0.6325 0.2500 0.3751
O 0.7120 0.0575 0.8839
O 0.7120 0.4425 0.8839
O 0.7962 0.7500 0.3097

Computed properties:
mass density	5.8	Mg/m³
energy above the most stable polymorph in this dataset	56	meV per atom

---

# 9
The following is a GGA-PBE calculation of crystalline TbSiHO4 at its relaxed geometry, from the Open Quantum Materials Database.

abc: 9.1344 6.4865 4.8612
angles: 90.00 90.00 90.00
Positions (direct):
Tb 0.2070 0.2500 0.1942
Tb 0.2930 0.7500 0.6942
Tb 0.7070 0.2500 0.3058
Tb 0.7930 0.7500 0.8058
Si 0.0427 0.7500 0.2105
Si 0.4573 0.2500 0.7105
Si 0.5427 0.7500 0.2895
Si 0.9573 0.2500 0.7895
H 0.0000 0.0000 0.5000
H 0.0000 0.5000 0.5000
H 0.5000 0.0000 0.0000
H 0.5000 0.5000 0.0000
O 0.0746 0.7500 0.8862
O 0.1119 0.5495 0.3771
O 0.1119 0.9505 0.3771
O 0.1336 0.2500 0.7522
O 0.3664 0.7500 0.2522
O 0.3881 0.0495 0.8771
O 0.3881 0.4505 0.8771
O 0.4254 0.2500 0.3862
O 0.5746 0.7500 0.6138
O 0.6119 0.5495 0.1229
O 0.6119 0.9505 0.1229
O 0.6336 0.2500 0.7478
O 0.8664 0.7500 0.2478
O 0.8881 0.0495 0.6229
O 0.8881 0.4505 0.6229
O 0.9254 0.2500 0.1138

Computed properties:
mass density	5.8	Mg/m³
energy above the most stable polymorph in this dataset	110	meV per atom

---

> Which of these has the highest energy above the most stable polymorph in this dataset?

number 2